No. 1
A plane-wave DFT calculation with PBE was carried out for Ca2PbO2F2 after structural relaxation.

The structure belongs to space group I4/mmm (No. 139); the cell edges are 4.6594, 4.6594 and 12.4562 Å and the angles 90.00°, 90.00° and 90.00°. Symmetry generates all atoms from Ca at (0.0000, 0.0000, 0.1184), Pb at (0.0000, 0.0000, 0.5000), O at (0.0000, 0.5000, 0.0000) and F at (0.0000, 0.0000, 0.2862).

No. 2
A plane-wave DFT calculation with PBE was carried out for CaPbO2F after structural relaxation.

The structure belongs to space group P4/mmm (No. 123); the cell edges are 4.4394, 4.4394 and 4.2991 Å and the angles 90.00°, 90.00° and 90.00°. Symmetry generates all atoms from Ca at (0.0000, 0.0000, 0.0000), Pb at (0.5000, 0.5000, 0.5000), O at (0.0000, 0.5000, 0.0000) and F at (0.0000, 0.0000, 0.5000).

No. 3
A plane-wave DFT calculation with PBE was carried out for CaPdO2F after structural relaxation.

The structure belongs to space group P4/mmm (No. 123); the cell edges are 4.4743, 4.4743 and 4.2285 Å and the angles 90.00°, 90.00° and 90.00°. Symmetry generates all atoms from Ca at (0.0000, 0.0000, 0.0000), Pd at (0.5000, 0.5000, 0.5000), O at (0.0000, 0.5000, 0.0000) and F at (0.0000, 0.0000, 0.5000).

No. 4
A plane-wave DFT calculation with PBE was carried out for CaPdO2F after structural relaxation.

The structure belongs to space group P4/mmm (No. 123); the cell edges are 4.0481, 4.0481 and 4.1195 Å and the angles 90.00°, 90.00° and 90.00°. Symmetry generates all atoms from Ca at (0.0000, 0.0000, 0.0000), Pd at (0.5000, 0.5000, 0.5000), O at (0.0000, 0.5000, 0.5000) and F at (0.5000, 0.5000, 0.0000).

In order of appearance, uncorrected energy = -37.44; -25.99; -22.80; -26.35 eV/f.u..
In order of appearance, density of states at the Fermi level = 0.060; 0.504; 0.934; 0.969 states/eV/atom.
In order of appearance, formation energy without anion corrections = -2.296; -1.698; -0.764; -1.474 eV/atom.